Record 1
DFT (PBE) results for crystalline PmSeI3 at its relaxed geometry.

Lattice parameters (Å, degrees): 7.3291 9.2205 15.8077 90.00 104.92 90.00
With the nearest neighbours (Å) after each atom.
Positions (direct):
Pm  0.1072  0.1291  0.1253  4 I 2.96-3.21, 2 Se 3.06-3.11
Pm  0.1072  0.8709  0.6253  4 I 2.96-3.21, 2 Se 3.06-3.11
Pm  0.8928  0.1291  0.3747  4 I 2.96-3.21, 2 Se 3.06-3.11
Pm  0.8928  0.8709  0.8747  4 I 2.96-3.21, 2 Se 3.06-3.11
Se  0.1525  0.3135  0.2939  1 Se 2.31
Se  0.1525  0.6865  0.7939  1 Se 2.31
Se  0.8475  0.3135  0.2061  1 Se 2.31
Se  0.8475  0.6865  0.7061  1 Se 2.31
I  0.1886  0.1701  0.5536  2 Pm 3.10-3.11
I  0.1886  0.8299  0.0536  2 Pm 3.10-3.11
I  0.2676  0.0133  0.8150  1 Se 3.12, 2 Pm 3.21-3.39
I  0.2676  0.9867  0.3150  1 Se 3.12, 2 Pm 3.21-3.39
I  0.3671  0.3453  0.0810  1 Pm 2.96
I  0.3671  0.6547  0.5810  1 Pm 2.96
I  0.6329  0.3453  0.4190  1 Pm 2.96
I  0.6329  0.6547  0.9190  1 Pm 2.96
I  0.7324  0.0133  0.6850  1 Se 3.12, 2 Pm 3.21-3.39
I  0.7324  0.9867  0.1850  1 Se 3.12, 2 Pm 3.21-3.39
I  0.8114  0.1701  0.9464  2 Pm 3.10-3.11
I  0.8114  0.8299  0.4464  2 Pm 3.10-3.11

Values from the calculation:
Space group: No. 13
Formation energy from raw total energies in kJ per mole of atoms: -95.6
ρ in g/cm3: 3.89
Size of the total moment in μB per cell: 0.0

---

Record 2
DFT (PBE) results for crystalline Pm4Se4I3 at its relaxed geometry.

Lattice parameters (Å, degrees): 9.7792 9.7792 9.7792 154.10 127.47 59.48
With the nearest neighbours (Å) after each atom.
Positions (direct):
Pm  0.2308  0.2308  0.0000  6 Se 3.00-3.10
Pm  0.2829  0.5000  0.7829  2 Se 2.94, 2 I 3.29
Pm  0.7171  0.5000  0.2171  2 Se 2.94, 2 I 3.29
Pm  0.7692  0.7692  0.0000  6 Se 3.00-3.10
Se  0.0335  0.3317  0.7018  4 Pm 2.94-3.10
Se  0.3700  0.6683  0.7018  4 Pm 2.94-3.10
Se  0.6300  0.3317  0.2982  4 Pm 2.94-3.10
Se  0.9665  0.6683  0.2982  4 Pm 2.94-3.10
I  0.0000  0.0000  0.0000  4 Pm 3.29
I  0.4010  0.9010  0.5000  6 Pm 3.34-3.63, 1 I 3.36, 4 Se 3.58
I  0.5990  0.0990  0.5000  6 Pm 3.34-3.63, 1 I 3.36, 4 Se 3.58

Values from the calculation:
Space group: No. 71
Formation energy from raw total energies in kJ per mole of atoms: -146.5
ρ in g/cm3: 6.58
Size of the total moment in μB per cell: 0.0

---

Record 3
DFT (PBE) results for crystalline Pm2SeI2 at its relaxed geometry.

Lattice parameters (Å, degrees): 4.2979 4.2979 12.1824 101.31 101.31 59.99
With the nearest neighbours (Å) after each atom.
Positions (direct):
Pm  0.2146  0.2146  0.1291  3 Se 2.92, 3 I 3.22
Pm  0.7854  0.7854  0.8709  3 Se 2.92, 3 I 3.22
Se  0.5000  0.5000  0.0000  6 Pm 2.92
I  0.0545  0.0545  0.6975  3 Pm 3.22
I  0.9455  0.9455  0.3025  3 Pm 3.22

Values from the calculation:
Space group: No. 12
Formation energy from raw total energies in kJ per mole of atoms: -152.8
E above lowest polymorph in meV per atom: 0
ρ in g/cm3: 5.45
Size of the total moment in μB per cell: 0.0

---

Record 4
DFT (PBE) results for crystalline Pm3Se2I2 at its relaxed geometry.

Lattice parameters (Å, degrees): 4.1679 7.2970 7.8146 81.38 90.00 73.42
With the nearest neighbours (Å) after each atom.
Positions (direct):
Pm  0.0000  0.0000  0.0000  4 Se 2.93-2.94, 2 I 3.25
Pm  0.2500  0.5010  0.8021  3 Se 2.89-2.97, 2 I 3.23
Pm  0.7500  0.4990  0.1979  3 Se 2.89-2.97, 2 I 3.23
Se  0.3840  0.2313  0.1356  5 Pm 2.89-2.97
Se  0.6160  0.7687  0.8644  5 Pm 2.89-2.97
I  0.1246  0.7503  0.3869  4 Pm 3.23-3.43
I  0.8754  0.2497  0.6131  4 Pm 3.23-3.43

Values from the calculation:
Space group: No. 2
Formation energy from raw total energies in kJ per mole of atoms: -150.7
ρ in g/cm3: 6.25
Size of the total moment in μB per cell: 0.0

---

Record 5
DFT (PBE) results for crystalline Pm2SeI3 at its relaxed geometry.

Lattice parameters (Å, degrees): 9.4350 9.4350 12.6676 117.77 117.77 27.37
With the nearest neighbours (Å) after each atom.
Positions (direct):
Pm  0.0982  0.0982  0.4451  2 Se 2.87-2.88
Pm  0.3505  0.3505  0.1827  2 Se 2.86, 1 I 3.19
Pm  0.6495  0.6495  0.8173  2 Se 2.86, 1 I 3.19
Pm  0.9018  0.9018  0.5549  2 Se 2.87-2.88
Se  0.0796  0.0796  0.6585  4 Pm 2.86-2.88
Se  0.9204  0.9204  0.3415  4 Pm 2.86-2.88
I  0.1544  0.1544  0.0109  3 Pm 3.19-3.29
I  0.2674  0.2674  0.3820  4 Pm 3.27-3.56
I  0.4525  0.4525  0.7631  3 Pm 3.23-3.34
I  0.5475  0.5475  0.2369  3 Pm 3.23-3.34
I  0.7326  0.7326  0.6180  4 Pm 3.27-3.56
I  0.8456  0.8456  0.9891  3 Pm 3.19-3.29

Values from the calculation:
Space group: No. 12
Formation energy from raw total energies in kJ per mole of atoms: -138.6
ρ in g/cm3: 5.47
Size of the total moment in μB per cell: 0.6

---

Record 6
DFT (PBE) results for crystalline PmSe2I2 at its relaxed geometry.

Lattice parameters (Å, degrees): 8.3059 8.3059 8.6854 98.46 98.46 120.86
With the nearest neighbours (Å) after each atom.
Positions (direct):
Pm  0.1675  0.8325  0.0000  4 Se 3.07-3.08, 4 I 3.11-3.18
Pm  0.8325  0.1675  0.0000  4 Se 3.07-3.08, 4 I 3.11-3.18
Se  0.0869  0.0869  0.2285  1 Se 2.28
Se  0.2404  0.2404  0.0481  1 Se 2.28
Se  0.7596  0.7596  0.9519  1 Se 2.28
Se  0.9131  0.9131  0.7715  1 Se 2.28
I  0.0211  0.5701  0.2440  2 Pm 3.11-3.18
I  0.4299  0.9789  0.7560  2 Pm 3.11-3.18
I  0.5701  0.0211  0.2440  2 Pm 3.11-3.18
I  0.9789  0.4299  0.7560  2 Pm 3.11-3.18

Values from the calculation:
Space group: No. 12
Formation energy from raw total energies in kJ per mole of atoms: -102.9
ρ in g/cm3: 3.77
Size of the total moment in μB per cell: 0.0

---

Number 1: total DFT energy (no corrections) -3.57 eV per atom. Number 2: total DFT energy (no corrections) -4.94 eV per atom. Number 3: total DFT energy (no corrections) -4.80 eV per atom. Number 4: total DFT energy (no corrections) -5.04 eV per atom. Number 5: total DFT energy (no corrections) -4.38 eV per atom. Number 6: total DFT energy (no corrections) -4.03 eV per atom.